No. 1
First-principles (PBE) data for a relaxed structure of Ba3InPb, as listed in Alexandria via LeMat-Bulk.

The space group is Pm-3m (No. 221) and the conventional cell measures 6.7164, 6.7164 and 6.7164 Å, with angles of 90.00, 90.00 and 90.00 degrees. The inequivalent atoms are Ba at (0.0000, 0.0000, 0.5000), In at (0.5000, 0.5000, 0.5000) and Pb at (0.0000, 0.0000, 0.0000).

No. 2
First-principles (PBE) data for a relaxed structure of Ba3InPb, as listed in Alexandria via LeMat-Bulk.

The space group is P2 (No. 3) and the conventional cell measures 11.3684, 4.2536 and 11.3700 Å, with angles of 90.00, 116.97 and 90.00 degrees. The inequivalent atoms are Ba at (0.0813, 0.0000, 0.2922), Ba at (0.2927, 0.0011, 0.0825), Ba at (0.3504, 0.5000, 0.6495), In at (0.0000, 0.4997, 0.5000), In at (0.5000, 0.5013, 0.0000), Pb at (0.0000, 0.5006, 0.0000) and Pb at (0.5000, 0.0002, 0.5000).

Excess energy over the best structure of this formula in the dataset values (in meV per atom) by entry order: 228 0.